Material: TaMn3Tl
Method: DFT, PBE
State: optimized geometry

```
5
Lattice="-2.863 -2.726 2.701 -1.784 -2.038 -3.948 3.398 -3.367 0.203" Properties=species:S:1:pos:R:3 pbc="T T T"
Mn -1.431 -1.363 1.351
Mn 1.699 -1.684 0.101
Mn -0.892 -1.019 -1.974
Tl -0.625 -4.066 -0.522
Ta 0.000 0.000 0.000
```

calculated density	8.32	g/cm3
SG	Pm-3m
total DFT energy (no corrections)	-35.5	eV for the cell shown

=====

Material: AcPu2PtN4
Method: DFT, PBE
State: optimized geometry

```
16
Lattice="-3.405 0.499 1.326 -0.478 -3.546 -5.022 1.203 -9.709 6.740" Properties=species:S:1:pos:R:3 pbc="T T T"
N -0.603 -5.680 0.589
N 0.601 -4.854 3.370
N -0.982 -10.130 1.289
N -0.997 -2.501 -1.618
N 0.000 0.000 0.000
N -2.077 -7.075 2.456
N -1.698 -2.626 1.756
N -1.683 -10.255 4.663
Pt -0.619 -3.817 -0.153
Pt -2.061 -8.938 3.198
Ac 0.571 -7.783 4.393
Ac -3.251 -4.973 -1.348
Pu -0.467 -11.556 3.147
Pu -2.213 -1.199 -0.102
Pu -0.927 -7.843 0.569
Pu -1.753 -4.913 2.476
```

calculated density	12.45	g/cm3
SG	Cmcm
ΔE_f (raw)	-876	meV per atom

=====

- Which formula does entry 2 have?
  AcPu2PtN4

=====

Please write out number 2 again, unchanged.
Material: AcPu2PtN4
Method: DFT, PBE
State: optimized geometry

```
16
Lattice="-3.405 0.499 1.326 -0.478 -3.546 -5.022 1.203 -9.709 6.740" Properties=species:S:1:pos:R:3 pbc="T T T"
N -0.603 -5.680 0.589
N 0.601 -4.854 3.370
N -0.982 -10.130 1.289
N -0.997 -2.501 -1.618
N 0.000 0.000 0.000
N -2.077 -7.075 2.456
N -1.698 -2.626 1.756
N -1.683 -10.255 4.663
Pt -0.619 -3.817 -0.153
Pt -2.061 -8.938 3.198
Ac 0.571 -7.783 4.393
Ac -3.251 -4.973 -1.348
Pu -0.467 -11.556 3.147
Pu -2.213 -1.199 -0.102
Pu -0.927 -7.843 0.569
Pu -1.753 -4.913 2.476
```

calculated density	12.45	g/cm3
SG	Cmcm
ΔE_f (raw)	-876	meV per atom

=====

- Look up the calculated density of the first one.
  8.32 g/cm3